PrB | PBE | optimized geometry

extended XYZ file:
```
4
Lattice="3.748 0.000 0.000 0.000 3.215 0.000 -1.828 0.000 7.084" Properties=species:S:1:pos:R:3 pbc="T T T"
Pr 0.000 0.804 1.738
Pr 1.919 2.411 5.346
B 0.045 0.804 6.840
B 1.875 2.411 0.245
```

Summary:
**Total magnetization**: 0.0 μB/cell
**Formation enthalpy at 0 K**: -292 meV per atom
**Space-group type**: No. 11
**Total energy**: -6.021 eV/atom